# 1
Compound: CoHgRh2
Source: Alexandria via LeMat-Bulk
Functional: PBE-GGA
Structure: optimized geometry

Output
Energy of formation = 29 kJ/mol of atoms
M_tot = 1.77 μB/f.u.
Volume = 15.23 A^3/atom

Unit cell a=2.8165 b=2.8165 c=26.5957 alpha=90.00 beta=90.00 gamma=120.00
With the nearest neighbours (Å) after each atom.
Space group R3m (No. 160, hexagonal axes)
One atom of each set of equivalent atoms:
Co (0.0000, 0.0000, 0.0000) (multiplicity 3)  3 Rh 2.54, 6 Co 2.82, 3 Hg 2.83
Hg (0.0000, 0.0000, 0.2463) (multiplicity 3)  6 Hg 2.82, 3 Co 2.83, 3 Rh 2.92
Rh (0.0000, 0.0000, 0.4882) (multiplicity 3)  9 Rh 2.71-2.82, 3 Hg 2.92
Rh (0.0000, 0.0000, 0.7399) (multiplicity 3)  3 Co 2.54, 9 Rh 2.71-2.82


# 2
Compound: CoHg2Rh
Source: Alexandria via LeMat-Bulk
Functional: PBE-GGA
Structure: optimized geometry

Output
Energy of formation = 38 kJ/mol of atoms
M_tot = 2.10 μB/f.u.
Volume = 16.83 A^3/atom
E above lowest polymorph = 0.65 eV per formula unit

Unit cell a=4.0293 b=4.0293 c=8.2916 alpha=90.00 beta=90.00 gamma=90.00
With the nearest neighbours (Å) after each atom.
Space group I-4m2 (No. 119)
One atom of each set of equivalent atoms:
Co (0.0000, 0.0000, 0.0000) (multiplicity 2)  8 Hg 2.85-2.89, 4 Rh 2.89
Hg (0.0000, 0.0000, 0.5000) (multiplicity 2)  4 Co 2.85, 4 Hg 2.89, 4 Rh 2.89
Hg (0.0000, 0.5000, 0.7500) (multiplicity 2)  4 Rh 2.85, 4 Hg 2.89, 4 Co 2.89
Rh (0.0000, 0.5000, 0.2500) (multiplicity 2)  8 Hg 2.85-2.89, 4 Co 2.89


# 3
Compound: CoTc2HgRh
Source: Alexandria via LeMat-Bulk
Functional: PBE-GGA
Structure: optimized geometry

Output
Energy of formation = 131 kJ/mol of atoms
M_tot = 2.22 μB/f.u.
Volume = 18.06 A^3/atom

Unit cell a=4.3708 b=4.3708 c=4.7273 alpha=90.00 beta=90.00 gamma=90.00
With the nearest neighbours (Å) after each atom.
Space group P4/mmm (No. 123)
One atom of each set of equivalent atoms:
Co (0.0000, 0.0000, 0.0000) (multiplicity 1)  4 Tc 2.19, 2 Hg 2.36
Tc (0.0000, 0.5000, 0.0000) (multiplicity 2)  2 Co 2.19
Hg (0.0000, 0.0000, 0.5000) (multiplicity 1)  2 Co 2.36
Rh (0.5000, 0.5000, 0.5000) (multiplicity 1)  4 Hg 3.09, 8 Tc 3.22


# 4
Compound: Th6Co3HgRh2
Source: Alexandria via LeMat-Bulk
Functional: PBE-GGA
Structure: optimized geometry

Output
Energy of formation = -41 kJ/mol of atoms
M_tot = 0.00 μB/f.u.
Volume = 24.22 A^3/atom

Unit cell a=17.9307 b=3.9583 c=8.5011 alpha=90.00 beta=105.53 gamma=90.00
With the nearest neighbours (Å) after each atom.
Space group C2/m (No. 12)
One atom of each set of equivalent atoms:
Th (0.0025, 0.0000, 0.2146) (multiplicity 4)  3 Co 2.68-2.82, 1 Rh 2.92
Th (0.1671, 0.5000, 0.0854) (multiplicity 4)  3 Co 2.88-2.89, 3 Rh 2.90-2.94
Th (0.1807, 0.5000, 0.5812) (multiplicity 4)  3 Co 2.66-2.87, 2 Rh 2.95
Co (0.0000, 0.5000, 0.0000) (multiplicity 2)  6 Th 2.68-2.89
Co (0.1652, 0.0000, 0.3300) (multiplicity 4)  6 Th 2.66-2.88
Hg (0.0000, 0.5000, 0.5000) (multiplicity 2)  6 Th 3.13-3.14
Rh (0.1648, 0.0000, 0.8282) (multiplicity 4)  6 Th 2.90-2.95


# 5
Compound: ZnCo2HgRh
Source: Alexandria via LeMat-Bulk
Functional: PBE-GGA
Structure: optimized geometry

Output
Energy of formation = 105 kJ/mol of atoms
M_tot = 5.08 μB/f.u.
Volume = 21.84 A^3/atom

Unit cell a=4.5975 b=4.5975 c=5.1658 alpha=90.00 beta=90.00 gamma=90.00
With the nearest neighbours (Å) after each atom.
Space group P4/mmm (No. 123)
One atom of each set of equivalent atoms:
Zn (0.0000, 0.0000, 0.0000) (multiplicity 1)  4 Hg 3.25, 8 Co 3.46
Co (0.0000, 0.5000, 0.5000) (multiplicity 2)  2 Rh 2.30
Hg (0.5000, 0.5000, 0.0000) (multiplicity 1)  2 Rh 2.58
Rh (0.5000, 0.5000, 0.5000) (multiplicity 1)  4 Co 2.30


# 6
Compound: CoHg3Ru
Source: Alexandria via LeMat-Bulk
Functional: PBE-GGA
Structure: optimized geometry

Output
Energy of formation = 112 kJ/mol of atoms
M_tot = 3.15 μB/f.u.
Volume = 23.33 A^3/atom
E above lowest polymorph = 0.00 eV per formula unit

Unit cell a=4.8859 b=4.8859 c=4.8859 alpha=90.00 beta=90.00 gamma=90.00
With the nearest neighbours (Å) after each atom.
Space group Pm-3m (No. 221)
One atom of each set of equivalent atoms:
Co (0.0000, 0.0000, 0.0000) (multiplicity 1)  6 Hg 2.44
Hg (0.0000, 0.0000, 0.5000) (multiplicity 3)  2 Co 2.44
Ru (0.5000, 0.5000, 0.5000) (multiplicity 1)  12 Hg 3.45


# 7
Compound: CoHg2Ru
Source: Alexandria via LeMat-Bulk
Functional: PBE-GGA
Structure: optimized geometry

Output
Energy of formation = 51 kJ/mol of atoms
M_tot = 2.23 μB/f.u.
Volume = 17.06 A^3/atom
E above lowest polymorph = 0.64 eV per formula unit

Unit cell a=10.3695 b=2.9208 c=4.8007 alpha=90.00 beta=110.14 gamma=90.00
With the nearest neighbours (Å) after each atom.
Space group Cm (No. 8)
One atom of each set of equivalent atoms:
Co (0.0000, 0.0000, 0.0000) (multiplicity 2)  2 Ru 2.47
Hg (0.2442, 0.0000, 0.7996) (multiplicity 2)  4 Ru 2.84-2.86, 3 Co 2.89-3.00, 3 Hg 2.92-3.17
Hg (0.4602, 0.0000, 0.4657) (multiplicity 2)  4 Co 2.82-2.86, 2 Hg 2.92, 3 Ru 2.94-2.95
Ru (0.1966, 0.5000, 0.2618) (multiplicity 2)  2 Co 2.47


# 8
Compound: CoHg2Ru
Source: Alexandria via LeMat-Bulk
Functional: PBE-GGA
Structure: optimized geometry

Output
Energy of formation = 60 kJ/mol of atoms
M_tot = 2.08 μB/f.u.
Volume = 16.67 A^3/atom
E above lowest polymorph = 1.00 eV per formula unit

Unit cell a=6.4374 b=6.4374 c=6.4374 alpha=90.00 beta=90.00 gamma=90.00
With the nearest neighbours (Å) after each atom.
Space group Fm-3m (No. 225)
One atom of each set of equivalent atoms:
Co (0.0000, 0.0000, 0.0000) (multiplicity 4)  8 Hg 2.79
Hg (0.2500, 0.2500, 0.2500) (multiplicity 8)  4 Ru 2.79, 4 Co 2.79
Ru (0.0000, 0.0000, 0.5000) (multiplicity 4)  8 Hg 2.79


# 9
Compound: CoHg2Ru
Source: Alexandria via LeMat-Bulk
Functional: PBE-GGA
Structure: optimized geometry

Output
Energy of formation = 62 kJ/mol of atoms
M_tot = 2.74 μB/f.u.
Volume = 17.06 A^3/atom
E above lowest polymorph = 1.07 eV per formula unit

Unit cell a=9.2068 b=2.9993 c=5.0558 alpha=90.00 beta=102.17 gamma=90.00
With the nearest neighbours (Å) after each atom.
Space group C2/m (No. 12)
One atom of each set of equivalent atoms:
Co (0.0000, 0.0000, 0.0000) (multiplicity 2)  6 Hg 2.78-2.87, 4 Ru 2.94, 2 Co 3.00
Hg (0.2459, 0.5000, 0.2451) (multiplicity 4)  3 Co 2.78-2.87, 3 Ru 2.83-2.85, 6 Hg 2.91-3.00
Ru (0.0000, 0.5000, 0.5000) (multiplicity 2)  6 Hg 2.83-2.85, 4 Co 2.94, 2 Ru 3.00


# 10
Compound: CoHg2Ru
Source: Alexandria via LeMat-Bulk
Functional: PBE-GGA
Structure: optimized geometry

Output
Energy of formation = 59 kJ/mol of atoms
M_tot = 2.93 μB/f.u.
Volume = 16.83 A^3/atom
E above lowest polymorph = 0.94 eV per formula unit

Unit cell a=4.0644 b=4.0644 c=8.1501 alpha=90.00 beta=90.00 gamma=90.00
With the nearest neighbours (Å) after each atom.
Space group I-4m2 (No. 119)
One atom of each set of equivalent atoms:
Co (0.0000, 0.0000, 0.0000) (multiplicity 2)  8 Hg 2.87-2.88, 4 Ru 2.88
Hg (0.0000, 0.0000, 0.5000) (multiplicity 2)  4 Co 2.87, 4 Hg 2.88, 4 Ru 2.88
Hg (0.0000, 0.5000, 0.7500) (multiplicity 2)  4 Ru 2.87, 4 Hg 2.88, 4 Co 2.88
Ru (0.0000, 0.5000, 0.2500) (multiplicity 2)  8 Hg 2.87-2.88, 4 Co 2.88


# 11
Compound: CoHgRu4
Source: Alexandria via LeMat-Bulk
Functional: PBE-GGA
Structure: optimized geometry

Output
Energy of formation = 72 kJ/mol of atoms
M_tot = 5.46 μB/f.u.
Volume = 15.89 A^3/atom

Unit cell a=7.2522 b=7.2522 c=7.2522 alpha=90.00 beta=90.00 gamma=90.00
With the nearest neighbours (Å) after each atom.
Space group F-43m (No. 216)
One atom of each set of equivalent atoms:
Co (0.0000, 0.0000, 0.0000) (multiplicity 4)  12 Ru 3.01, 4 Hg 3.14
Hg (0.2500, 0.2500, 0.7500) (multiplicity 4)  12 Ru 3.01, 4 Co 3.14
Ru (0.1252, 0.1252, 0.3748) (multiplicity 16)  6 Ru 2.56-2.57


# 12
Compound: CoHgRu2
Source: Alexandria via LeMat-Bulk
Functional: PBE-GGA
Structure: optimized geometry

Output
Energy of formation = 56 kJ/mol of atoms
M_tot = 3.38 μB/f.u.
Volume = 15.29 A^3/atom

Unit cell a=2.7965 b=4.1309 c=5.4086 alpha=90.00 beta=101.72 gamma=90.00
With the nearest neighbours (Å) after each atom.
Space group P2/m (No. 10)
One atom of each set of equivalent atoms:
Co (0.0000, 0.0000, 0.0000) (multiplicity 1)  4 Ru 2.50, 2 Hg 2.70
Hg (0.0000, 0.0000, 0.5000) (multiplicity 1)  2 Co 2.70, 2 Hg 2.80, 8 Ru 2.89-2.93
Ru (0.3725, 0.5000, 0.2164) (multiplicity 2)  2 Co 2.50, 1 Ru 2.58